Entry 1:
Nb3WCl9: relaxed, GGA-PBE.

Output
Uncorrected formation energy in eV/f.u.: -11.93
Electronic total energy in eV/atom: -5.52

Unit cell a=6.9698 b=8.8686 c=15.2184 alpha=91.74 beta=76.81 gamma=66.86
Closest atoms and distances in Å follow each position.
Sites, in units of the cell vectors:
Nb  0.7000  0.4447  0.7618  4 Cl 2.40-2.59, 1 W 2.59, 1 Nb 2.60
Nb  0.0933  0.9453  0.2615  4 Cl 2.40-2.59, 1 W 2.59, 1 Nb 2.60
Nb  0.8349  0.9395  0.8017  3 Cl 2.28-2.40, 1 W 2.51
Nb  0.4240  0.4400  0.3014  3 Cl 2.28-2.40, 1 W 2.51
Nb  0.5738  0.2312  0.7022  1 W 2.50, 5 Cl 2.51-2.72, 1 Nb 2.60
Nb  0.4925  0.7318  0.2019  1 W 2.50, 5 Cl 2.51-2.72, 1 Nb 2.60
W  0.1962  0.6355  0.2124  4 Cl 2.45-2.66, 3 Nb 2.50-2.59
W  0.9560  0.1349  0.7126  4 Cl 2.45-2.66, 3 Nb 2.50-2.59
Cl  0.7591  0.1573  0.2194  2 Nb 2.59-2.68
Cl  0.8641  0.6568  0.7196  2 Nb 2.59-2.68
Cl  0.3621  0.4446  0.8439  2 Nb 2.40-2.55
Cl  0.3495  0.9451  0.3437  2 Nb 2.40-2.55
Cl  0.9001  0.0494  0.5692  1 W 2.45, 1 Nb 2.59
Cl  0.4805  0.5500  0.0690  1 W 2.45, 1 Nb 2.59
Cl  0.9026  0.6947  0.1232  1 W 2.60, 1 Nb 2.72
Cl  0.2794  0.1941  0.6234  1 W 2.60, 1 Nb 2.72
Cl  0.8872  0.8076  0.3493  1 Nb 2.44, 1 W 2.55
Cl  0.9564  0.3071  0.8495  1 Nb 2.44, 1 W 2.55
Cl  0.2148  0.8284  0.7278  1 Nb 2.40, 1 W 2.66
Cl  0.2288  0.3290  0.2275  1 Nb 2.40, 1 W 2.66
Cl  0.6972  0.5360  0.3008  2 Nb 2.37-2.55
Cl  0.4664  0.0354  0.8011  2 Nb 2.37-2.55
Cl  0.5867  0.4676  0.6179  2 Nb 2.48-2.51
Cl  0.3272  0.9682  0.1177  2 Nb 2.48-2.51
Cl  0.8115  0.0202  0.9488  1 Nb 2.28
Cl  0.2202  0.5206  0.4485  1 Nb 2.28

Entry 2:
NbWCl2: relaxed, GGA-PBE.

Output
ΔE to the lowest computed polymorph in eV/f.u.: 3.48
Uncorrected formation energy in eV/f.u.: 4.08
Electronic total energy in eV/atom: -5.66
D(E_F) in states/eV/cell: 4.04

Unit cell a=4.4301 b=4.4301 c=4.4301 alpha=60.00 beta=60.00 gamma=60.00
Closest atoms and distances in Å follow each position.
Sites, in units of the cell vectors:
Nb  0.0000  0.0000  0.0000  8 Cl 2.71
W  0.5000  0.5000  0.5000  8 Cl 2.71
Cl  0.2500  0.2500  0.2500  4 W 2.71, 4 Nb 2.71
Cl  0.7500  0.7500  0.7500  4 W 2.71, 4 Nb 2.71

Entry 3:
Nb3WCl: relaxed, GGA-PBE.

Output
ΔE to the lowest computed polymorph in eV/f.u.: 0.00
Uncorrected formation energy in eV/f.u.: 4.51
Electronic total energy in eV/atom: -8.10
D(E_F) in states/eV/cell: 8.12

Unit cell a=4.5206 b=4.5206 c=4.5206 alpha=90.00 beta=90.00 gamma=90.00
Closest atoms and distances in Å follow each position.
Sites, in units of the cell vectors:
Nb  0.0000  0.5000  0.0000  2 Cl 2.26
Nb  0.0000  0.0000  0.5000  2 Cl 2.26
Nb  0.5000  0.0000  0.0000  2 Cl 2.26
W  0.5000  0.5000  0.5000  12 Nb 3.20
Cl  0.0000  0.0000  0.0000  6 Nb 2.26

Entry 4:
YNb3Cl: relaxed, GGA-PBE.

Output
ΔE to the lowest computed polymorph in eV/f.u.: 0.00
Uncorrected formation energy in eV/f.u.: 1.84
Electronic total energy in eV/atom: -7.34
D(E_F) in states/eV/cell: 4.87

Unit cell a=4.6964 b=4.6964 c=4.6964 alpha=90.00 beta=90.00 gamma=90.00
Closest atoms and distances in Å follow each position.
Sites, in units of the cell vectors:
Y  0.5000  0.5000  0.5000  12 Nb 3.32
Nb  0.0000  0.5000  0.0000  2 Cl 2.35
Nb  0.0000  0.0000  0.5000  2 Cl 2.35
Nb  0.5000  0.0000  0.0000  2 Cl 2.35
Cl  0.0000  0.0000  0.0000  6 Nb 2.35

Entry 5:
YNb3Cl: relaxed, GGA-PBE.

Output
ΔE to the lowest computed polymorph in eV/f.u.: 9.17
Uncorrected formation energy in eV/f.u.: 11.02
Electronic total energy in eV/atom: -5.50
D(E_F) in states/eV/cell: 6.77

Unit cell a=5.0811 b=5.0811 c=5.0811 alpha=90.00 beta=90.00 gamma=90.00
Closest atoms and distances in Å follow each position.
Sites, in units of the cell vectors:
Y  0.0000  0.0000  0.0000  6 Nb 2.54
Nb  0.0000  0.5000  0.0000  2 Y 2.54
Nb  0.0000  0.0000  0.5000  2 Y 2.54
Nb  0.5000  0.0000  0.0000  2 Y 2.54
Cl  0.5000  0.5000  0.5000  12 Nb 3.59

Entry 6:
Y3NbCl: relaxed, GGA-PBE.

Output
ΔE to the lowest computed polymorph in eV/f.u.: 2.09
Uncorrected formation energy in eV/f.u.: 1.84
Electronic total energy in eV/atom: -5.89
D(E_F) in states/eV/cell: 9.41

Unit cell a=5.5319 b=5.5319 c=5.5319 alpha=90.00 beta=90.00 gamma=90.00
Closest atoms and distances in Å follow each position.
Sites, in units of the cell vectors:
Y  0.0000  0.5000  0.0000  2 Nb 2.77
Y  0.0000  0.0000  0.5000  2 Nb 2.77
Y  0.5000  0.0000  0.0000  2 Nb 2.77
Nb  0.0000  0.0000  0.0000  6 Y 2.77
Cl  0.5000  0.5000  0.5000  12 Y 3.91

Entry 7:
Y3NbCl: relaxed, GGA-PBE.

Output
ΔE to the lowest computed polymorph in eV/f.u.: 0.00
Uncorrected formation energy in eV/f.u.: -0.24
Electronic total energy in eV/atom: -6.31
D(E_F) in states/eV/cell: 3.69

Unit cell a=5.1278 b=5.1278 c=5.1278 alpha=90.00 beta=90.00 gamma=90.00
Closest atoms and distances in Å follow each position.
Sites, in units of the cell vectors:
Y  0.0000  0.5000  0.0000  2 Cl 2.56
Y  0.0000  0.0000  0.5000  2 Cl 2.56
Y  0.5000  0.0000  0.0000  2 Cl 2.56
Nb  0.5000  0.5000  0.5000  12 Y 3.63
Cl  0.0000  0.0000  0.0000  6 Y 2.56

Entry 8:
Y2NbCl: relaxed, GGA-PBE.

Output
ΔE to the lowest computed polymorph in eV/f.u.: 0.00
Uncorrected formation energy in eV/f.u.: 0.98
Electronic total energy in eV/atom: -5.97
D(E_F) in states/eV/cell: 8.83

Unit cell a=5.1840 b=5.1840 c=5.1840 alpha=60.00 beta=60.00 gamma=60.00
Closest atoms and distances in Å follow each position.
Sites, in units of the cell vectors:
Y  0.2500  0.2500  0.2500  4 Cl 3.17, 4 Nb 3.17
Y  0.7500  0.7500  0.7500  4 Nb 3.17, 4 Cl 3.17
Nb  0.5000  0.5000  0.5000  8 Y 3.17
Cl  0.0000  0.0000  0.0000  8 Y 3.17

Which of these has the lowest electronic total energy? Nb3WCl